A plane-wave DFT calculation with PBE-GGA was carried out for crystalline Ga2ReSiPb at its relaxed geometry.

Unit cell a=4.6970 b=5.4506 c=4.6970 alpha=90.00 beta=90.00 gamma=90.00
With the nearest neighbours (Å) after each atom.
Fractional coordinates of all 5 atoms:
Pb: 0.0000 0.5000 0.0000  2 Si 2.73
Re: 0.5000 0.5000 0.5000  4 Pb 3.32, 8 Ga 3.60
Si: 0.0000 0.0000 0.0000  4 Ga 2.35
Ga: 0.0000 0.0000 0.5000  2 Si 2.35
Ga: 0.5000 0.0000 0.0000  2 Si 2.35

## Properties
Energy relative to the elements, uncorrected in meV/atom: 1341
M_tot in μB/atom: 0.6278
Crystal system: tetragonal
VASP energy in eV/atom: -4.19